Entry from the Alexandria database: a geometry-optimized Ge4PtRh2 structure (GGA-PBE). Values from VASP.

```
&SYSTEM
  ibrav = 0, nat = 14, ntyp = 3
/
ATOMIC_SPECIES
Ge 72.64 Ge.upf
Pt 195.08 Pt.upf
Rh 102.91 Rh.upf
CELL_PARAMETERS angstrom
12.509 0.000 0.000
0.000 3.298 0.000
-2.715 0.000 5.700
ATOMIC_POSITIONS angstrom
Ge -0.095 0.000 2.612
Ge -0.759 1.649 5.512
Ge 4.299 0.000 0.189
Ge 3.635 1.649 3.088
Ge 6.160 1.649 2.612
Ge 5.496 0.000 5.512
Ge 10.553 1.649 0.189
Ge 9.889 0.000 3.088
Pt 0.000 0.000 0.000
Pt 6.255 1.649 0.000
Rh 1.189 1.649 3.947
Rh 2.351 0.000 1.754
Rh 7.444 0.000 3.947
Rh 8.605 1.649 1.754
```

***

! GGA-PBE Ge3PtRh, optimized geometry; values from VASP
! energy relative to the lowest polymorph listed for this composition	0.52	eV/f.u.
&SYSTEM
  ibrav = 0, nat = 10, ntyp = 3
/
ATOMIC_SPECIES
Ge 72.64 Ge.upf
Pt 195.08 Pt.upf
Rh 102.91 Rh.upf
CELL_PARAMETERS angstrom
4.205 0.000 0.000
0.000 8.739 0.000
-2.055 0.000 4.906
ATOMIC_POSITIONS angstrom
Ge -0.406 2.185 1.391
Ge 0.992 4.542 0.825
Ge 0.992 8.566 0.825
Ge 1.159 0.173 4.081
Ge 1.159 4.197 4.081
Ge 2.556 6.554 3.514
Pt 0.395 6.554 2.171
Pt 1.755 2.185 2.735
Rh -0.311 2.185 4.772
Rh 2.462 6.554 0.134

***

Entry from the Alexandria database: a geometry-optimized Ge2PtRh structure (GGA-PBE). Values from VASP.

```
&SYSTEM
  ibrav = 0, nat = 12, ntyp = 3
/
ATOMIC_SPECIES
Ge 72.64 Ge.upf
Pt 195.08 Pt.upf
Rh 102.91 Rh.upf
CELL_PARAMETERS angstrom
3.389 0.000 0.000
-1.695 2.935 0.000
0.000 0.000 20.116
ATOMIC_POSITIONS angstrom
Ge 0.000 0.000 0.000
Ge 0.000 0.000 3.318
Ge 0.000 1.957 13.411
Ge 0.000 1.957 16.728
Ge 1.695 0.978 6.705
Ge 1.695 0.978 10.023
Pt 0.000 0.000 11.616
Pt 0.000 1.957 4.911
Pt 1.695 0.978 18.322
Rh 0.000 0.000 8.503
Rh 0.000 1.957 1.797
Rh 1.695 0.978 15.208
```

***

The total DFT energy (no corrections) results, record by record, are as follows: -6.0463 -5.5827 -5.9343 eV/atom.